[1]
# PtBr (PBE-GGA, relaxed)
# Calculated total energy in eV per atom: -3.3722
# Total moment in μB/atom: 0.001
# DOS(E_F) in states/eV per atom: 1.427
# Crystal system: tetragonal
data_PtBr
_space_group_name_H-M_alt 'P 1'
_space_group_IT_number 1
_cell_length_a 7.666
_cell_length_b 7.666
_cell_length_c 3.727
_cell_angle_alpha 90.00
_cell_angle_beta 90.00
_cell_angle_gamma 90.00
loop_
_space_group_symop_operation_xyz
'x,y,z'
loop_
_atom_site_label
_atom_site_type_symbol
_atom_site_fract_x
_atom_site_fract_y
_atom_site_fract_z
_atom_site_occupancy
Pt1 Pt 0.117 0.117 0.000 1
Pt2 Pt 0.383 0.617 0.500 1
Pt3 Pt 0.617 0.383 0.500 1
Pt4 Pt 0.883 0.883 0.000 1
Br1 Br 0.224 0.776 0.000 1
Br2 Br 0.276 0.276 0.500 1
Br3 Br 0.724 0.724 0.500 1
Br4 Br 0.776 0.224 0.000 1



[2]
# Pt4Br3 (PBE-GGA, relaxed)
# Calculated total energy in eV per atom: -2.8718
# Total moment in μB/atom: 0.000
# DOS(E_F) in states/eV per atom: 1.343
# Crystal system: hexagonal
data_Pt4Br3
_space_group_name_H-M_alt 'P 1'
_space_group_IT_number 1
_cell_length_a 6.509
_cell_length_b 6.509
_cell_length_c 4.506
_cell_angle_alpha 90.00
_cell_angle_beta 90.00
_cell_angle_gamma 120.00
loop_
_space_group_symop_operation_xyz
'x,y,z'
loop_
_atom_site_label
_atom_site_type_symbol
_atom_site_fract_x
_atom_site_fract_y
_atom_site_fract_z
_atom_site_occupancy
Pt1 Pt 0.000 0.000 0.249 1
Pt2 Pt 0.000 0.000 0.751 1
Pt3 Pt 0.333 0.667 0.000 1
Pt4 Pt 0.667 0.333 0.000 1
Br1 Br 0.000 0.500 0.500 1
Br2 Br 0.500 0.000 0.500 1
Br3 Br 0.500 0.500 0.500 1



[3]
# Pt2Br (PBE-GGA, relaxed)
# Calculated total energy in eV per atom: -4.2708
# Total moment in μB/atom: 0.000
# DOS(E_F) in states/eV per atom: 1.315
# Crystal system: orthorhombic
data_Pt2Br
_space_group_name_H-M_alt 'P 1'
_space_group_IT_number 1
_cell_length_a 10.549
_cell_length_b 5.330
_cell_length_c 4.678
_cell_angle_alpha 90.00
_cell_angle_beta 90.00
_cell_angle_gamma 90.00
loop_
_space_group_symop_operation_xyz
'x,y,z'
loop_
_atom_site_label
_atom_site_type_symbol
_atom_site_fract_x
_atom_site_fract_y
_atom_site_fract_z
_atom_site_occupancy
Pt1 Pt 0.235 0.130 0.250 1
Pt2 Pt 0.235 0.870 0.750 1
Pt3 Pt 0.265 0.370 0.750 1
Pt4 Pt 0.265 0.630 0.250 1
Pt5 Pt 0.735 0.370 0.750 1
Pt6 Pt 0.735 0.630 0.250 1
Pt7 Pt 0.765 0.130 0.250 1
Pt8 Pt 0.765 0.870 0.750 1
Br1 Br 0.000 0.244 0.250 1
Br2 Br 0.000 0.756 0.750 1
Br3 Br 0.500 0.256 0.750 1
Br4 Br 0.500 0.744 0.250 1



[4]
# PtBr (PBE-GGA, relaxed)
# Calculated total energy in eV per atom: -3.6814
# Total moment in μB/atom: 0.000
# DOS(E_F) in states/eV per atom: 0.096
# Crystal system: orthorhombic
data_PtBr
_space_group_name_H-M_alt 'P 1'
_space_group_IT_number 1
_cell_length_a 5.468
_cell_length_b 8.144
_cell_length_c 3.769
_cell_angle_alpha 90.00
_cell_angle_beta 90.00
_cell_angle_gamma 90.00
loop_
_space_group_symop_operation_xyz
'x,y,z'
loop_
_atom_site_label
_atom_site_type_symbol
_atom_site_fract_x
_atom_site_fract_y
_atom_site_fract_z
_atom_site_occupancy
Pt1 Pt 0.000 0.113 0.250 1
Pt2 Pt 0.000 0.887 0.750 1
Pt3 Pt 0.500 0.387 0.750 1
Pt4 Pt 0.500 0.613 0.250 1
Br1 Br 0.000 0.335 0.750 1
Br2 Br 0.000 0.665 0.250 1
Br3 Br 0.500 0.165 0.250 1
Br4 Br 0.500 0.835 0.750 1